! CaPb2W (meta-GGA SCAN, single point on PBEsol structure); values from VASP
! * formation energy from the elements: 65 kJ per mole of atoms
! * space group: P4/mmm (123)
! * final energy: -2.097 Ha/atom
! * DOS at the Fermi energy: 0.96 states/eV/atom
&SYSTEM
  ibrav = 0, nat = 4, ntyp = 3
/
ATOMIC_SPECIES
Pb 207.20 Pb.upf
W 183.84 W.upf
Ca 40.08 Ca.upf
ATOMIC_POSITIONS angstrom
Pb 0.0000 2.3951 0.0000
Pb 0.0000 0.0000 2.3951
W 1.9678 2.3951 2.3951
Ca 1.9678 0.0000 0.0000
CELL_PARAMETERS angstrom
3.9356 0.0000 0.0000
0.0000 4.7902 0.0000
0.0000 0.0000 4.7902